[1]
Below is an optimized crystal structure of HfTe2I, with properties calculated at the PBE level.

Output
M_tot (μB per formula unit): 0.0
Raw total energy (eV per atom): -4.358
Energy relative to the elements, uncorrected (eV per formula unit): 0.4

```
HfTe2I
1.0
0.0000 3.7721 3.7721
3.7721 0.0000 3.7721
3.7721 3.7721 0.0000
Hf Te I
1 2 1
direct
0.0000 0.0000 0.0000 Hf
0.2500 0.2500 0.2500 Te
0.7500 0.7500 0.7500 Te
0.5000 0.5000 0.5000 I
```

---

[2]
Below is an optimized crystal structure of Pm2Ho3Tl4, with properties calculated at the PBE level.

Output
DFT formation energy (eV per atom): -0.30
M_tot (μB per formula unit): 0.0
Raw total energy (eV per atom): -3.932

```
Pm2Ho3Tl4
1.0
4.5823 -2.6522 0.0000
4.5823 2.6522 0.0000
-0.0432 0.0000 10.6910
Pm Ho Tl
2 3 4
direct
0.1672 0.1672 0.2773 Pm
0.8328 0.8328 0.7227 Pm
0.1667 0.1667 0.9265 Ho
0.5000 0.5000 0.5000 Ho
0.8333 0.8333 0.0735 Ho
0.1660 0.1660 0.6030 Tl
0.4999 0.4999 0.1512 Tl
0.5001 0.5001 0.8488 Tl
0.8340 0.8340 0.3970 Tl
```

---

[3]
Below is an optimized crystal structure of MgFePt, with properties calculated at the PBE level.

Output
DFT formation energy (eV per atom): -0.26
M_tot (μB per formula unit): 3.0
Raw total energy (eV per atom): -5.631

```
MgFePt
1.0
4.3575 0.0000 0.0000
-2.1788 3.7737 0.0000
0.0000 0.0000 2.7827
Mg Fe Pt
1 1 1
direct
0.0000 0.0000 0.0000 Mg
0.6667 0.3333 0.6017 Fe
0.3333 0.6667 0.4135 Pt
```

---

[4]
Below is an optimized crystal structure of TaAl2Tl, with properties calculated at the PBE level.

Output
DFT formation energy (eV per atom): 0.35
M_tot (μB per formula unit): 0.0
Raw total energy (eV per atom): -5.073

```
TaAl2Tl
1.0
2.9803 0.0000 0.0000
0.0000 5.0554 0.0000
0.0000 0.0000 5.1198
Ta Al Tl
1 2 1
direct
0.0000 0.0000 0.0000 Ta
0.0000 0.5000 0.5000 Al
0.5000 0.5000 0.0000 Al
0.5000 0.0000 0.5000 Tl
```

---

[5]
Below is an optimized crystal structure of CeSm5Bi4, with properties calculated at the PBE level.

Output
DFT formation energy (eV per atom): -0.51
M_tot (μB per formula unit): 1.0
Raw total energy (eV per atom): -5.016

```
CeSm5Bi4
1.0
9.6979 -2.2436 0.0000
9.6979 2.2436 0.0000
-2.4006 0.0000 8.3903
Ce Sm Bi
1 5 4
direct
0.0000 0.0000 0.0000 Ce
0.0000 0.0000 0.5000 Sm
0.3191 0.3191 0.6495 Sm
0.3382 0.3382 0.1839 Sm
0.6618 0.6618 0.8161 Sm
0.6809 0.6809 0.3505 Sm
0.1700 0.1700 0.0841 Bi
0.4891 0.4891 0.7404 Bi
0.5109 0.5109 0.2596 Bi
0.8300 0.8300 0.9159 Bi
```

---

[6]
Below is an optimized crystal structure of SmCu2Sb2, with properties calculated at the PBE level.

Output
M_tot (μB per formula unit): 0.0
Raw total energy (eV per atom): -4.556
Energy relative to the elements, uncorrected (eV per formula unit): -1.6

```
SmCu2Sb2
1.0
4.6072 -5.3544 0.0000
4.6072 5.3544 0.0000
-4.4072 0.0000 4.7444
Sm Cu Sb
2 4 4
direct
0.1325 0.8675 0.7500 Sm
0.8675 0.1325 0.2500 Sm
0.2153 0.4896 0.2535 Cu
0.4896 0.2153 0.7535 Cu
0.5104 0.7847 0.2465 Cu
0.7847 0.5104 0.7465 Cu
0.1573 0.8427 0.2500 Sb
0.4279 0.5721 0.7500 Sb
0.5721 0.4279 0.2500 Sb
0.8427 0.1573 0.7500 Sb
```

---

Number 3 is which compound? MgFePt